Here is a geometry-optimized LuAl2Cu structure from the Alexandria database. Energies are from PBE.

Cell and atoms, written as CIF:
```
data_LuAl2Cu
_cell_length_a 4.106
_cell_length_b 4.106
_cell_length_c 4.215
_cell_angle_alpha 90.00
_cell_angle_beta 90.00
_cell_angle_gamma 90.00
_space_group_name_H-M_alt 'P 4/m m m'
_space_group_IT_number 123
_space_group_name_Hall '-P 4 2'
loop_
_atom_site_label
_atom_site_type_symbol
_atom_site_fract_x
_atom_site_fract_y
_atom_site_fract_z
Lu1 Lu 0.000 0.000 0.000
Al1 Al 0.000 0.500 0.500
Cu1 Cu 0.500 0.500 0.000
```

- ΔE_f: -0.289 eV per atom
- Total energy: -0.317 Ry/atom